Computed, not measured: a relaxed structure of LiCa5Ag4 at the PBE level of DFT.

The structure belongs to space group P4/mmm (No. 123); the cell edges are 3.770, 3.770 and 18.676 Å and the angles 90.00°, 90.00° and 90.00°. The distinct sites, in fractional coordinates, are Li at (0.000, 0.000, 0.000), Ca at (0.500, 0.500, 0.111), Ca at (0.500, 0.500, 0.305), Ca at (0.500, 0.500, 0.500), Ag at (0.000, 0.000, 0.206) and Ag at (0.000, 0.000, 0.403).

---

Computed, not measured: a relaxed structure of Li5Ca2Ag4 at the PBE level of DFT.

The structure belongs to space group Immm (No. 71); the cell edges are 5.587, 8.962 and 9.362 Å and the angles 90.00°, 90.00° and 90.00°. The distinct sites, in fractional coordinates, are Li at (0.000, 0.000, 0.000), Li at (0.248, 0.187, 0.500), Ca at (0.000, 0.500, 0.288) and Ag at (0.000, 0.166, 0.238).

---

Computed, not measured: a relaxed structure of LiCaAg at the PBE level of DFT.

The structure belongs to space group P4/nmm (No. 129, origin choice 2); the cell edges are 4.318, 4.318 and 7.755 Å and the angles 90.00°, 90.00° and 90.00°. The distinct sites, in fractional coordinates, are Li at (0.250, 0.750, 0.000), Ca at (0.250, 0.250, 0.347) and Ag at (0.250, 0.250, 0.768).

---

Computed, not measured: a relaxed structure of LiCa2Ag at the PBE level of DFT.

The structure belongs to space group Fm-3m (No. 225); the cell edges are 7.577, 7.577 and 7.577 Å and the angles 90.00°, 90.00° and 90.00°. The distinct sites, in fractional coordinates, are Li at (0.000, 0.000, 0.000), Ca at (0.250, 0.250, 0.250) and Ag at (0.000, 0.000, 0.500).

---

Computed, not measured: a relaxed structure of Li6Ca2Ag3 at the PBE level of DFT.

The structure belongs to space group P-62m (No. 189); the cell edges are 8.2849, 8.2849 and 4.0884 Å and the angles 90.00°, 90.00° and 120.00°. The distinct sites, in fractional coordinates, are Li at (0.0000, 0.2021, 0.0000), Li at (0.0000, 0.7279, 0.5000), Ca at (0.3333, 0.6667, 0.0000) and Ag at (0.0000, 0.3994, 0.5000).

---

Computed, not measured: a relaxed structure of LiCaLuAg at the PBE level of DFT.

The structure belongs to space group F-43m (No. 216); the cell edges are 7.311, 7.311 and 7.311 Å and the angles 90.00°, 90.00° and 90.00°. The distinct sites, in fractional coordinates, are Li at (0.000, 0.000, 0.000), Ca at (0.250, 0.250, 0.250), Lu at (0.250, 0.250, 0.750) and Ag at (0.000, 0.000, 0.500).

---

Computed, not measured: a relaxed structure of LiCa2Mg2Ag5 at the PBE level of DFT.

The structure belongs to space group P4/mbm (No. 127); the cell edges are 10.908, 10.908 and 3.644 Å and the angles 90.00°, 90.00° and 90.00°. The distinct sites, in fractional coordinates, are Li at (0.000, 0.000, 0.000), Ca at (0.172, 0.328, 0.000), Mg at (0.129, 0.629, 0.000), Ag at (0.000, 0.500, 0.500) and Ag at (0.055, 0.814, 0.500).

---

Computed, not measured: a relaxed structure of Li12Ca2MgAg3 at the PBE level of DFT.

The structure belongs to space group R-3m (No. 166, hexagonal axes); the cell edges are 9.7033, 9.7033 and 13.7484 Å and the angles 90.00°, 90.00° and 120.00°. The distinct sites, in fractional coordinates, are Li at (0.0124, 0.5062, 0.2011), Li at (0.0426, 0.5213, 0.6031), Ca at (0.0000, 0.0000, 0.2534), Mg at (0.0000, 0.0000, 0.5000) and Ag at (0.0000, 0.5000, 0.0000).

---

| no. | formation enthalpy at 0 K (meV/atom) |
| --- | --- |
| 1 | -252.4 |
| 2 | -178.7 |
| 3 | -242.9 |
| 4 | -156.8 |
| 5 | -122.7 |
| 6 | -85.1 |
| 7 | -168.5 |
| 8 | -24.8 |